A relaxed structure of Mg2TaTlC. Source: Alexandria via LeMat-Bulk, functional PBE.

Calculated values
Its formation energy is 5.11 eV per formula unit. As for the total magnetization: 0.000 μB/atom. The crystal system is tetragonal.

CIF file:
```
data_Mg2TaTlC
_chemical_formula_sum 'Mg2 Ta1 Tl1 C1'
_space_group_name_H-M_alt 'P 4/m m m'
_space_group_IT_number 123
_space_group_name_Hall '-P 4 2'
_cell_length_a 5.626
_cell_length_b 5.626
_cell_length_c 4.065
_cell_angle_alpha 90.00
_cell_angle_beta 90.00
_cell_angle_gamma 90.00
loop_
_atom_site_label
_atom_site_type_symbol
_atom_site_fract_x
_atom_site_fract_y
_atom_site_fract_z
_atom_site_occupancy
Mg1 Mg 0.000 0.500 0.000 1
Ta1 Ta 0.000 0.000 0.000 1
Tl1 Tl 0.500 0.500 0.500 1
C1 C 0.000 0.000 0.500 1
```